VASP calculation (PBE-GGA) on a geometry-optimized Hf8Ni2Sb structure.

Output
uncorrected energy	-8.8222	eV/atom
energy relative to the elements, uncorrected	-0.157	eV per atom

a = 7.239 Å, b = 7.239 Å, c = 5.006 Å
α = 98.32°, β = 98.32°, γ = 115.30°
Atoms (fractional coordinates):
Hf (0.096, 0.096, 0.807)
Hf (0.170, 0.415, 0.414)
Hf (0.249, 0.751, 0.000)
Hf (0.415, 0.170, 0.414)
Hf (0.585, 0.830, 0.586)
Hf (0.751, 0.249, 0.000)
Hf (0.830, 0.585, 0.586)
Hf (0.904, 0.904, 0.193)
Ni (0.199, 0.801, 0.500)
Ni (0.801, 0.199, 0.500)
Sb (0.500, 0.500, 0.000)



VASP calculation (PBE-GGA) on a geometry-optimized Hf2NiSb structure.

Output
uncorrected energy	-7.6114	eV/atom
energy relative to the elements, uncorrected	-0.159	eV per atom

a = 7.443 Å, b = 7.443 Å, c = 5.846 Å
α = 90.00°, β = 90.00°, γ = 90.00°
Atoms (fractional coordinates):
Hf (0.204, 0.250, 0.125)
Hf (0.250, 0.704, 0.375)
Hf (0.250, 0.796, 0.875)
Hf (0.296, 0.250, 0.625)
Hf (0.704, 0.750, 0.625)
Hf (0.750, 0.204, 0.875)
Hf (0.750, 0.296, 0.375)
Hf (0.796, 0.750, 0.125)
Ni (0.000, 0.000, 0.000)
Ni (0.000, 0.500, 0.250)
Ni (0.500, 0.000, 0.750)
Ni (0.500, 0.500, 0.500)
Sb (0.000, 0.000, 0.500)
Sb (0.000, 0.500, 0.750)
Sb (0.500, 0.000, 0.250)
Sb (0.500, 0.500, 0.000)



VASP calculation (PBE-GGA) on a geometry-optimized Hf5NiSb3 structure.

Output
uncorrected energy	-8.0770	eV/atom
energy relative to the elements, uncorrected	-0.531	eV per atom

a = 8.569 Å, b = 8.569 Å, c = 5.737 Å
α = 90.00°, β = 90.00°, γ = 120.00°
Atoms (fractional coordinates):
Hf (0.000, 0.256, 0.250)
Hf (0.000, 0.744, 0.750)
Hf (0.256, 0.000, 0.250)
Hf (0.256, 0.256, 0.750)
Hf (0.333, 0.667, 0.000)
Hf (0.333, 0.667, 0.500)
Hf (0.667, 0.333, 0.000)
Hf (0.667, 0.333, 0.500)
Hf (0.744, 0.000, 0.750)
Hf (0.744, 0.744, 0.250)
Ni (0.000, 0.000, 0.000)
Ni (0.000, 0.000, 0.500)
Sb (0.000, 0.389, 0.750)
Sb (0.000, 0.611, 0.250)
Sb (0.389, 0.000, 0.750)
Sb (0.389, 0.389, 0.250)
Sb (0.611, 0.000, 0.250)
Sb (0.611, 0.611, 0.750)



VASP calculation (PBE-GGA) on a geometry-optimized HfNiSb structure.

Output
uncorrected energy	-7.0836	eV/atom
energy relative to the elements, uncorrected	-0.465	eV per atom

a = 4.180 Å, b = 7.152 Å, c = 7.307 Å
α = 90.00°, β = 90.00°, γ = 90.00°
Atoms (fractional coordinates):
Hf (0.000, 0.000, 0.000)
Hf (0.000, 0.500, 0.046)
Hf (0.500, 0.000, 0.546)
Hf (0.500, 0.500, 0.500)
Ni (0.000, 0.179, 0.355)
Ni (0.000, 0.821, 0.355)
Ni (0.500, 0.321, 0.855)
Ni (0.500, 0.679, 0.855)
Sb (0.000, 0.260, 0.685)
Sb (0.000, 0.740, 0.685)
Sb (0.500, 0.240, 0.185)
Sb (0.500, 0.760, 0.185)



VASP calculation (PBE-GGA) on a geometry-optimized HfNiSb2 structure.

Output
uncorrected energy	-6.0638	eV/atom
energy relative to the elements, uncorrected	-0.069	eV per atom

a = 7.388 Å, b = 7.388 Å, c = 6.180 Å
α = 90.00°, β = 90.00°, γ = 90.00°
Atoms (fractional coordinates):
Hf (0.000, 0.000, 0.000)
Hf (0.000, 0.500, 0.250)
Hf (0.500, 0.000, 0.750)
Hf (0.500, 0.500, 0.500)
Ni (0.000, 0.000, 0.500)
Ni (0.000, 0.500, 0.750)
Ni (0.500, 0.000, 0.250)
Ni (0.500, 0.500, 0.000)
Sb (0.199, 0.250, 0.625)
Sb (0.250, 0.699, 0.875)
Sb (0.250, 0.801, 0.375)
Sb (0.301, 0.250, 0.125)
Sb (0.699, 0.750, 0.125)
Sb (0.750, 0.199, 0.375)
Sb (0.750, 0.301, 0.875)
Sb (0.801, 0.750, 0.625)



VASP calculation (PBE-GGA) on a geometry-optimized HfNiSb structure.

Output
uncorrected energy	-7.0532	eV/atom
energy relative to the elements, uncorrected	-0.434	eV per atom

a = 4.154 Å, b = 4.154 Å, c = 3.738 Å
α = 90.00°, β = 90.00°, γ = 120.00°
Atoms (fractional coordinates):
Hf (0.000, 0.000, 0.000)
Ni (0.333, 0.667, 0.642)
Sb (0.667, 0.333, 0.487)



Question: The highest energy relative to the elements, uncorrected belongs to which entry?
Answer: HfNiSb2



Question: Which value of uncorrected energy does entry 4 give?
Answer: -7.0836 eV/atom